Below is an optimized crystal structure of VTe2IO, with properties calculated at the PBE+U level.

```
5
Lattice="4.477 0.000 0.000 0.000 4.477 0.000 0.000 0.000 6.606" Properties=species:S:1:pos:R:3 pbc="T T T"
V 0.000 0.000 0.000
Te 0.000 2.238 3.303
Te 2.238 0.000 3.303
I 2.238 2.238 0.000
O 2.238 2.238 3.303
```

Computed properties:
polymorph energy (0 for the lowest one): 0.0 meV per atom
size of the total moment: 3.02 μB/f.u.